(1)
A geometry-optimized Cd2GaHOs structure. Source: the Alexandria database, functional GGA-PBE.

As for the electronic total energy: -3.416 eV/atom. Its density of states at the Fermi level is 2.831 states/eV/f.u.

The structure belongs to space group P4/mmm (No. 123); the cell edges are 4.6844, 4.6844 and 3.5208 Å and the angles 90.00°, 90.00° and 90.00°. The asymmetric unit holds Cd at (0.0000, 0.5000, 0.0000), Ga at (0.0000, 0.0000, 0.5000), H at (0.5000, 0.5000, 0.0000) and Os at (0.5000, 0.5000, 0.5000).

---

(2)
A geometry-optimized PrAg6Pd6 structure. Source: the Alexandria database, functional GGA-PBE.

The value obtained for the formation energy is -2.64 eV per formula unit. Its density of states at the Fermi level is 6.218 states/eV/f.u.

The structure belongs to space group Immm (No. 71); the cell edges are 5.4142, 9.3428 and 9.3618 Å and the angles 90.00°, 90.00° and 90.00°. The asymmetric unit holds Pr at (0.0000, 0.0000, 0.0000), Ag at (0.0000, 0.0000, 0.3521), Ag at (0.0000, 0.3477, 0.0000), Ag at (0.0000, 0.5000, 0.2866), Pd at (0.0000, 0.2841, 0.5000) and Pd at (0.2500, 0.2500, 0.2500).

---

(3)
A geometry-optimized Te6IrCl3 structure. Source: the Alexandria database, functional GGA-PBE.

Its uncorrected formation energy is -0.3654 eV per atom.

The structure belongs to space group R-3c (No. 167, hexagonal axes); the cell edges are 15.0659, 15.0659 and 9.9359 Å and the angles 90.00°, 90.00° and 120.00°. The asymmetric unit holds Te at (0.0777, 0.1691, 0.0957), Ir at (0.0000, 0.0000, 0.2500) and Cl at (0.0000, 0.2576, 0.7500).

---

(4)
A geometry-optimized Th2In2BIr4 structure. Source: the Alexandria database, functional GGA-PBE.

The value obtained for the formation energy is -3.74 eV per formula unit. Its density of states at the Fermi level is 2.612 states/eV/f.u.

The structure belongs to space group I4/mmm (No. 139); the cell edges are 6.2819, 6.2819 and 8.8152 Å and the angles 90.00°, 90.00° and 90.00°. The asymmetric unit holds Th at (0.0000, 0.5000, 0.2500), In at (0.0000, 0.0000, 0.1805), B at (0.0000, 0.0000, 0.5000) and Ir at (0.2365, 0.2365, 0.5000).

---

(5)
A geometry-optimized CaAcSbI structure. Source: the Alexandria database, functional GGA-PBE.

Its uncorrected formation energy is -1.0006 eV per atom. Its density of states at the Fermi level is 2.565 states/eV/f.u.

The structure belongs to space group F-43m (No. 216); the cell edges are 8.0683, 8.0683 and 8.0683 Å and the angles 90.00°, 90.00° and 90.00°. The asymmetric unit holds Ca at (0.0000, 0.0000, 0.0000), Ac at (0.0000, 0.0000, 0.5000), Sb at (0.2500, 0.2500, 0.2500) and I at (0.2500, 0.2500, 0.7500).

---

(6)
A geometry-optimized Na5SbAs2 structure. Source: the Alexandria database, functional GGA-PBE.

Its uncorrected formation energy is -0.1795 eV per atom. Its density of states at the Fermi level is 2.264 states/eV/f.u.

The structure belongs to space group Immm (No. 71); the cell edges are 4.7324, 9.2553 and 9.8318 Å and the angles 90.00°, 90.00° and 90.00°. The asymmetric unit holds Na at (0.0000, 0.0000, 0.0000), Na at (0.0000, 0.3192, 0.3122), Sb at (0.0000, 0.5000, 0.0000) and As at (0.0000, 0.0000, 0.2922).

---

(7)
A geometry-optimized La2OsN4 structure. Source: the Alexandria database, functional GGA-PBE.

Its energy above the most stable polymorph in this dataset is 0.00 eV per formula unit. Its uncorrected formation energy is -0.7120 eV per atom. Its density of states at the Fermi level is 3.952 states/eV/f.u.

The structure belongs to space group Pnma (No. 62); the cell edges are 7.5282, 5.7964 and 10.1319 Å and the angles 90.00°, 90.00° and 90.00°. The asymmetric unit holds La at (0.0063, 0.2500, 0.2012), La at (0.1477, 0.2500, 0.5614), Os at (0.2066, 0.2500, 0.9191), N at (0.0354, 0.7500, 0.0729), N at (0.1574, 0.7500, 0.5801) and N at (0.2013, 0.0119, 0.3430).

---

(8)
A geometry-optimized BeTeN2Cl structure. Source: the Alexandria database, functional GGA-PBE.

Its energy above the most stable polymorph in this dataset is 0.00 eV per formula unit. Its uncorrected formation energy is 1.3476 eV per atom. Its density of states at the Fermi level is 2.385 states/eV/f.u.

The structure belongs to space group P4/mmm (No. 123); the cell edges are 3.7446, 3.7446 and 5.9675 Å and the angles 90.00°, 90.00° and 90.00°. The asymmetric unit holds Be at (0.0000, 0.0000, 0.0000), Te at (0.0000, 0.0000, 0.5000), N at (0.0000, 0.5000, 0.0000) and Cl at (0.5000, 0.5000, 0.5000).

---

(9)
A geometry-optimized CaTc2Br structure. Source: the Alexandria database, functional GGA-PBE.

Its energy above the most stable polymorph in this dataset is 1.96 eV per formula unit. Its uncorrected formation energy is 0.4286 eV per atom. Its density of states at the Fermi level is 3.089 states/eV/f.u.

The structure belongs to space group Imm2 (No. 44); the cell edges are 3.5707, 5.5468 and 8.9320 Å and the angles 90.00°, 90.00° and 90.00°. The asymmetric unit holds Ca at (0.0000, 0.0000, 0.0000), Tc at (0.0000, 0.0000, 0.4939), Tc at (0.0000, 0.5000, 0.8262) and Br at (0.0000, 0.5000, 0.2285).

---

(10)
A geometry-optimized Dy2Ho7Tm structure. Source: the Alexandria database, functional GGA-PBE.

Its energy above the most stable polymorph in this dataset is 6.79 eV per formula unit. The value obtained for the formation energy is 7.00 eV per formula unit. Its density of states at the Fermi level is 11.201 states/eV/f.u.

The structure belongs to space group Cmmm (No. 65); the cell edges are 8.6129, 17.1342 and 5.1094 Å and the angles 90.00°, 90.00° and 90.00°. The asymmetric unit holds Dy at (0.0000, 0.2015, 0.0000), Ho at (0.0000, 0.0000, 0.0000), Ho at (0.0000, 0.3050, 0.5000), Ho at (0.1793, 0.3929, 0.0000) and Tm at (0.0000, 0.5000, 0.5000).

---

(11)
A geometry-optimized Li2Dy2ScIn5 structure. Source: the Alexandria database, functional GGA-PBE.

The value obtained for the formation energy is -3.63 eV per formula unit. Its density of states at the Fermi level is 5.750 states/eV/f.u.

The structure belongs to space group P4/mbm (No. 127); the cell edges are 10.1107, 10.1107 and 4.4002 Å and the angles 90.00°, 90.00° and 90.00°. The asymmetric unit holds Li at (0.1180, 0.3820, 0.0000), Dy at (0.1770, 0.6770, 0.0000), Sc at (0.0000, 0.0000, 0.0000), In at (0.0000, 0.5000, 0.5000) and In at (0.0706, 0.2061, 0.5000).

---

(12)
A geometry-optimized NdPt9Pb2 structure. Source: the Alexandria database, functional GGA-PBE.

The value obtained for the formation energy is -5.22 eV per formula unit. Its density of states at the Fermi level is 6.631 states/eV/f.u.

The structure belongs to space group R-3m (No. 166, hexagonal axes); the cell edges are 5.4631, 5.4631 and 26.6720 Å and the angles 90.00°, 90.00° and 120.00°. The asymmetric unit holds Nd at (0.0000, 0.0000, 0.0000), Pt at (0.0000, 0.0000, 0.3329), Pt at (0.0000, 0.0000, 0.5000), Pt at (0.0028, 0.5014, 0.9165) and Pb at (0.0000, 0.0000, 0.1383).

---

(13)
A geometry-optimized CdAs2P structure. Source: the Alexandria database, functional GGA-PBE.

Its energy above the most stable polymorph in this dataset is 1.32 eV per formula unit. The value obtained for the formation energy is 1.77 eV per formula unit. Its density of states at the Fermi level is 1.966 states/eV/f.u.

The structure belongs to space group Cmm2 (No. 35); the cell edges are 3.3222, 5.0657 and 9.5550 Å and the angles 90.00°, 90.00° and 90.00°. The asymmetric unit holds Cd at (0.0000, 0.0000, 0.0000), As at (0.0000, 0.0000, 0.4572), As at (0.0000, 0.5000, 0.7373) and P at (0.0000, 0.5000, 0.2716).

---

(14)
A geometry-optimized Nd2DyHg5 structure. Source: the Alexandria database, functional GGA-PBE.

The value obtained for the formation energy is -3.32 eV per formula unit. Its density of states at the Fermi level is 6.521 states/eV/f.u.

The structure belongs to space group I4/mmm (No. 139); the cell edges are 5.2323, 5.2323 and 15.1552 Å and the angles 90.00°, 90.00° and 90.00°. The asymmetric unit holds Nd at (0.0000, 0.0000, 0.2355), Dy at (0.0000, 0.0000, 0.5000), Hg at (0.0000, 0.0000, 0.0000) and Hg at (0.0000, 0.5000, 0.1177).

---

(15)
A geometry-optimized CeGdYPu structure. Source: the Alexandria database, functional GGA-PBE.

The value obtained for the formation energy is 0.82 eV per formula unit. Its density of states at the Fermi level is 9.740 states/eV/f.u.

The structure belongs to space group F-43m (No. 216); the cell edges are 7.8552, 7.8552 and 7.8552 Å and the angles 90.00°, 90.00° and 90.00°. The asymmetric unit holds Ce at (0.0000, 0.0000, 0.0000), Gd at (0.0000, 0.0000, 0.5000), Y at (0.2500, 0.2500, 0.7500) and Pu at (0.2500, 0.2500, 0.2500).

---

(16)
A geometry-optimized YAg5S4 structure. Source: the Alexandria database, functional GGA-PBE.

Its uncorrected formation energy is -0.4896 eV per atom. Its density of states at the Fermi level is 0.380 states/eV/f.u.

The structure belongs to space group Immm (No. 71); the cell edges are 4.0698, 7.3609 and 14.3003 Å and the angles 90.00°, 90.00° and 90.00°. The asymmetric unit holds Y at (0.0000, 0.0000, 0.0000), Ag at (0.0000, 0.2466, 0.3217), Ag at (0.0000, 0.5000, 0.0000), S at (0.0000, 0.0000, 0.1949) and S at (0.0000, 0.2413, 0.5000).

---

(17)
A geometry-optimized InReTc structure. Source: the Alexandria database, functional GGA-PBE.

Its energy above the most stable polymorph in this dataset is 0.87 eV per formula unit. The value obtained for the formation energy is 1.38 eV per formula unit. Its density of states at the Fermi level is 2.297 states/eV/f.u.

The structure belongs to space group Fmm2 (No. 42); the cell edges are 2.9870, 4.8319 and 14.0739 Å and the angles 90.00°, 90.00° and 90.00°. The asymmetric unit holds In at (0.0000, 0.0000, 0.0000), Re at (0.0000, 0.0000, 0.3217) and Tc at (0.0000, 0.0000, 0.6740).

---

(18)
A geometry-optimized CsTa2ZnRe structure. Source: the Alexandria database, functional GGA-PBE.

The value obtained for the formation energy is 13.01 eV per formula unit. Its density of states at the Fermi level is 5.697 states/eV/f.u.

The structure belongs to space group P4/mmm (No. 123); the cell edges are 4.8574, 4.8574 and 5.5362 Å and the angles 90.00°, 90.00° and 90.00°. The asymmetric unit holds Cs at (0.0000, 0.0000, 0.0000), Ta at (0.0000, 0.5000, 0.5000), Zn at (0.0000, 0.0000, 0.5000) and Re at (0.5000, 0.5000, 0.0000).

---

(19)
A geometry-optimized ZrPtAu2 structure. Source: the Alexandria database, functional GGA-PBE.

The value obtained for the formation energy is -2.26 eV per formula unit. Its density of states at the Fermi level is 2.135 states/eV/f.u.

The structure belongs to space group P4mm (No. 99); the cell edges are 3.5960, 3.5960 and 5.7143 Å and the angles 90.00°, 90.00° and 90.00°. The asymmetric unit holds Zr at (0.0000, 0.0000, 0.0000), Pt at (0.5000, 0.5000, 0.7766), Au at (0.0000, 0.0000, 0.5118) and Au at (0.5000, 0.5000, 0.2741).

---

(20)
A geometry-optimized Y2Ga2Sb structure. Source: the Alexandria database, functional GGA-PBE.

Its energy above the most stable polymorph in this dataset is 1.13 eV per formula unit. Its uncorrected formation energy is -0.4461 eV per atom. Its density of states at the Fermi level is 3.467 states/eV/f.u.

The structure belongs to space group P4/mbm (No. 127); the cell edges are 8.3969, 8.3969 and 3.6899 Å and the angles 90.00°, 90.00° and 90.00°. The asymmetric unit holds Y at (0.1887, 0.3113, 0.0000), Ga at (0.1072, 0.6072, 0.5000) and Sb at (0.0000, 0.0000, 0.0000).